A plane-wave DFT calculation with GGA-PBE was carried out for a geometry-optimized KH2OsCl8 structure.

a b c (Å): 6.6949 7.1140 7.4290
angles (deg): 92.14 92.60 98.40
Sites, in units of the cell vectors:
K  0.0000  0.0000  0.0000
H  0.3452  0.8132  0.6656
H  0.6548  0.1868  0.3344
Os  0.5000  0.5000  0.0000
Cl  0.1846  0.8852  0.6115
Cl  0.1951  0.4137  0.8385
Cl  0.3760  0.7535  0.1378
Cl  0.3826  0.3057  0.2327
Cl  0.6174  0.6943  0.7673
Cl  0.6240  0.2465  0.8622
Cl  0.8049  0.5863  0.1615
Cl  0.8154  0.1148  0.3885

Output
Raw total energy in eV/atom: -3.5477
Calculated volume in A^3/atom: 29.11